Record 1
! meta-GGA SCAN Y5Ag, single point on PBEsol structure; values from VASP
&SYSTEM
  ibrav = 0, nat = 6, ntyp = 2
/
ATOMIC_SPECIES
Y 88.91 Y.upf
Ag 107.87 Ag.upf
CELL_PARAMETERS angstrom
6.001 -1.825 0.000
6.001 1.825 0.000
-3.084 0.000 7.722
ATOMIC_POSITIONS crystal
Y 0.000 0.000 0.000
Y 0.330 0.330 0.197
Y 0.358 0.358 0.641
Y 0.642 0.642 0.359
Y 0.670 0.670 0.803
Ag 0.000 0.000 0.500
! Raw total energy, eV per formula unit: -171.13
! ρ, g cm⁻³: 5.42
! Space-group type: C2/m (12)
! Offset from the most stable computed form, eV per atom: 0.000
! Calculated volume, Å³/cell: 169.14
! Crystal system: monoclinic



Record 2
! meta-GGA SCAN Sb2OsW, single point on PBEsol structure; values from VASP
&SYSTEM
  ibrav = 0, nat = 4, ntyp = 3
/
ATOMIC_SPECIES
Sb 121.76 Sb.upf
Os 190.23 Os.upf
W 183.84 W.upf
CELL_PARAMETERS angstrom
3.267 0.000 0.000
0.000 3.267 0.000
0.000 0.000 6.513
ATOMIC_POSITIONS crystal
Sb 0.000 0.000 0.247
Sb 0.000 0.000 0.753
Os 0.500 0.500 0.500
W 0.500 0.500 0.000
! Raw total energy, eV per formula unit: -213.24
! ρ, g cm⁻³: 14.75
! Raw formation energy, eV/atom: 0.712
! Space-group type: P4/mmm (123)
! Offset from the most stable computed form, eV per atom: 0.000
! Calculated volume, Å³/cell: 69.53
! Crystal system: tetragonal



Record 3
! meta-GGA SCAN Pt2RhCl, single point on PBEsol structure; values from VASP
&SYSTEM
  ibrav = 0, nat = 4, ntyp = 3
/
ATOMIC_SPECIES
Pt 195.08 Pt.upf
Rh 102.91 Rh.upf
Cl 35.45 Cl.upf
CELL_PARAMETERS angstrom
2.787 0.000 0.000
0.000 3.362 0.000
0.000 0.000 6.734
ATOMIC_POSITIONS crystal
Pt 0.000 0.000 0.000
Pt 0.500 0.500 0.233
Rh 0.500 0.500 0.779
Cl 0.500 0.000 0.525
! Raw total energy, eV per formula unit: -181.44
! ρ, g cm⁻³: 13.91
! Raw formation energy, eV/atom: 0.174
! Space-group type: Pmm2 (25)
! Offset from the most stable computed form, eV per atom: 0.000
! Calculated volume, Å³/cell: 63.10
! Crystal system: orthorhombic



Record 4
! meta-GGA SCAN Cd3CoRu, single point on PBEsol structure; values from VASP
&SYSTEM
  ibrav = 0, nat = 5, ntyp = 3
/
ATOMIC_SPECIES
Cd 112.41 Cd.upf
Co 58.93 Co.upf
Ru 101.07 Ru.upf
CELL_PARAMETERS angstrom
5.008 0.000 0.000
0.000 5.008 0.000
0.000 0.000 5.008
ATOMIC_POSITIONS crystal
Cd 0.000 0.000 0.500
Cd 0.000 0.500 0.000
Cd 0.500 0.000 0.000
Co 0.500 0.500 0.500
Ru 0.000 0.000 0.000
! Raw total energy, eV per formula unit: -137.29
! ρ, g cm⁻³: 6.58
! Space-group type: Pm-3m (221)
! Calculated volume, Å³/cell: 125.56
! Crystal system: cubic



Record 5
! meta-GGA SCAN NaPr2Cl6, single point on PBEsol structure; values from VASP
&SYSTEM
  ibrav = 0, nat = 9, ntyp = 3
/
ATOMIC_SPECIES
Na 22.99 Na.upf
Pr 140.91 Pr.upf
Cl 35.45 Cl.upf
CELL_PARAMETERS angstrom
7.879 0.000 0.000
-3.940 6.824 0.000
0.000 0.000 3.842
ATOMIC_POSITIONS crystal
Na 0.000 0.000 0.000
Pr 0.333 0.667 0.249
Pr 0.667 0.333 0.751
Cl 0.077 0.379 0.749
Cl 0.302 0.923 0.749
Cl 0.379 0.302 0.251
Cl 0.621 0.698 0.749
Cl 0.698 0.077 0.251
Cl 0.923 0.621 0.251
! Raw total energy, eV per formula unit: -159.78
! ρ, g cm⁻³: 4.16
! Raw formation energy, eV/atom: -2.338
! Space-group type: P-3 (147)
! Calculated volume, Å³/cell: 206.58
! Crystal system: trigonal



Record 6
! meta-GGA SCAN YSbIr2, single point on PBEsol structure; values from VASP
&SYSTEM
  ibrav = 0, nat = 4, ntyp = 3
/
ATOMIC_SPECIES
Y 88.91 Y.upf
Sb 121.76 Sb.upf
Ir 192.22 Ir.upf
CELL_PARAMETERS angstrom
-2.146 2.146 3.882
2.146 -2.146 3.882
2.146 2.146 -3.882
ATOMIC_POSITIONS crystal
Y 0.000 0.000 0.000
Sb 0.500 0.500 0.000
Ir 0.250 0.750 0.500
Ir 0.750 0.250 0.500
! Raw total energy, eV per formula unit: -209.36
! ρ, g cm⁻³: 13.82
! Raw formation energy, eV/atom: -0.513
! Space-group type: I4/mmm (139)
! Calculated volume, Å³/cell: 71.52
! Crystal system: tetragonal



Record 7
! meta-GGA SCAN FeTc2Os, single point on PBEsol structure; values from VASP
&SYSTEM
  ibrav = 0, nat = 4, ntyp = 3
/
ATOMIC_SPECIES
Fe 55.84 Fe.upf
Tc 98.00 Tc.upf
Os 190.23 Os.upf
CELL_PARAMETERS angstrom
0.000 2.995 2.995
2.995 0.000 2.995
2.995 2.995 0.000
ATOMIC_POSITIONS crystal
Fe 0.000 0.000 0.000
Tc 0.250 0.250 0.250
Tc 0.500 0.500 0.500
Os 0.750 0.750 0.750
! Raw total energy, eV per formula unit: -159.44
! ρ, g cm⁻³: 13.66
! Space-group type: F-43m (216)
! Offset from the most stable computed form, eV per atom: 0.095
! Calculated volume, Å³/cell: 53.75
! Crystal system: cubic



Record 8
! meta-GGA SCAN InC5, single point on PBEsol structure; values from VASP
&SYSTEM
  ibrav = 0, nat = 6, ntyp = 2
/
ATOMIC_SPECIES
In 114.82 In.upf
C 12.01 C.upf
CELL_PARAMETERS angstrom
3.468 -1.362 0.000
3.468 1.362 0.000
-1.173 0.000 7.499
ATOMIC_POSITIONS crystal
In 0.000 0.000 0.000
C 0.214 0.214 0.671
C 0.257 0.257 0.862
C 0.573 0.573 0.234
C 0.632 0.632 0.396
C 0.690 0.690 0.580
! Raw total energy, eV per formula unit: -76.84
! ρ, g cm⁻³: 4.10
! Space-group type: Cm (8)
! Calculated volume, Å³/cell: 70.86
! Crystal system: monoclinic



Record 9
! meta-GGA SCAN Na2SeS, single point on PBEsol structure; values from VASP
&SYSTEM
  ibrav = 0, nat = 8, ntyp = 3
/
ATOMIC_SPECIES
Na 22.99 Na.upf
Se 78.96 Se.upf
S 32.06 S.upf
CELL_PARAMETERS angstrom
-3.903 3.903 2.690
3.903 -3.903 2.690
3.903 3.903 -2.690
ATOMIC_POSITIONS crystal
Na 0.104 0.625 0.979
Na 0.375 0.354 0.479
Na 0.646 0.125 0.021
Na 0.875 0.896 0.521
Se 0.250 0.750 0.500
Se 0.500 0.500 0.000
S 0.000 0.000 0.000
S 0.750 0.250 0.500
! Raw total energy, eV per formula unit: -41.19
! ρ, g cm⁻³: 3.18
! Raw formation energy, eV/atom: -0.762
! Space-group type: I-42d (122)
! Calculated volume, Å³/cell: 163.91
! Crystal system: tetragonal



Record 10
! meta-GGA SCAN MnFe2Ni, single point on PBEsol structure; values from VASP
&SYSTEM
  ibrav = 0, nat = 4, ntyp = 3
/
ATOMIC_SPECIES
Mn 54.94 Mn.upf
Fe 55.84 Fe.upf
Ni 58.69 Ni.upf
CELL_PARAMETERS angstrom
2.444 0.000 0.000
0.000 3.517 0.000
0.000 0.000 4.893
ATOMIC_POSITIONS crystal
Mn 0.000 0.000 0.000
Fe 0.500 0.500 0.249
Fe 0.500 0.500 0.751
Ni 0.000 0.000 0.500
! Raw total energy, eV per formula unit: -70.88
! ρ, g cm⁻³: 8.90
! Space-group type: Pmmm (47)
! Calculated volume, Å³/cell: 42.06
! Crystal system: orthorhombic



Record 11
! meta-GGA SCAN ScCd2Rh, single point on PBEsol structure; values from VASP
&SYSTEM
  ibrav = 0, nat = 4, ntyp = 3
/
ATOMIC_SPECIES
Sc 44.96 Sc.upf
Cd 112.41 Cd.upf
Rh 102.91 Rh.upf
CELL_PARAMETERS angstrom
3.277 0.000 0.000
0.000 3.277 0.000
0.000 0.000 6.807
ATOMIC_POSITIONS crystal
Sc 0.000 0.000 0.000
Cd 0.000 0.000 0.441
Cd 0.500 0.500 0.710
Rh 0.500 0.500 0.190
! Raw total energy, eV per formula unit: -110.78
! ρ, g cm⁻³: 8.46
! Space-group type: P4mm (99)
! Calculated volume, Å³/cell: 73.11
! Crystal system: tetragonal



Record 12
! meta-GGA SCAN HgTe2AsW, single point on PBEsol structure; values from VASP
&SYSTEM
  ibrav = 0, nat = 5, ntyp = 4
/
ATOMIC_SPECIES
Hg 200.59 Hg.upf
Te 127.60 Te.upf
As 74.92 As.upf
W 183.84 W.upf
CELL_PARAMETERS angstrom
5.435 0.000 0.000
0.000 5.435 0.000
0.000 0.000 4.920
ATOMIC_POSITIONS crystal
Hg 0.000 0.000 0.000
Te 0.000 0.500 0.000
Te 0.500 0.000 0.000
As 0.000 0.000 0.500
W 0.500 0.500 0.500
! Raw total energy, eV per formula unit: -223.70
! ρ, g cm⁻³: 8.16
! Raw formation energy, eV/atom: 1.769
! Space-group type: P4/mmm (123)
! Calculated volume, Å³/cell: 145.35
! Crystal system: tetragonal



Record 13
! meta-GGA SCAN KBaScH2, single point on PBEsol structure; values from VASP
&SYSTEM
  ibrav = 0, nat = 5, ntyp = 4
/
ATOMIC_SPECIES
K 39.10 K.upf
Ba 137.33 Ba.upf
Sc 44.96 Sc.upf
H 1.01 H.upf
CELL_PARAMETERS angstrom
4.428 0.000 0.000
0.000 4.428 0.000
0.000 0.000 6.181
ATOMIC_POSITIONS crystal
K 0.000 0.000 0.000
Ba 0.500 0.500 0.000
Sc 0.500 0.500 0.500
H 0.000 0.500 0.500
H 0.500 0.000 0.500
! Raw total energy, eV per formula unit: -65.96
! ρ, g cm⁻³: 3.06
! Space-group type: P4/mmm (123)
! Calculated volume, Å³/cell: 121.17
! Crystal system: tetragonal